No. 1
Density functional theory data (PBE) for a geometry-optimized MgCd2Ag8 structure.

Lattice parameters (Å, degrees): 7.6252 7.6252 5.1006 106.36 106.36 118.93
Positions (direct):
Mg (0.0000, 0.0000, 0.0000)
Cd (0.3073, 0.6927, 0.5000)
Cd (0.6927, 0.3073, 0.5000)
Ag (0.0971, 0.3232, 0.6272)
Ag (0.2109, 0.7891, 0.0000)
Ag (0.3232, 0.0971, 0.6272)
Ag (0.4124, 0.4124, 0.1829)
Ag (0.5876, 0.5876, 0.8171)
Ag (0.6768, 0.9029, 0.3728)
Ag (0.7891, 0.2109, 0.0000)
Ag (0.9029, 0.6768, 0.3728)

total DFT energy (no corrections): -2.35 eV per atom
E above lowest polymorph: 0.679 eV per formula unit
energy relative to the elements: 0.0396 eV/atom
space group: No. 12

No. 2
Density functional theory data (PBE) for a geometry-optimized Mg5Cd4Ag structure.

Lattice parameters (Å, degrees): 3.4533 3.4533 17.5616 90.00 90.00 90.00
Positions (direct):
Mg (0.0000, 0.0000, 0.0000)
Mg (0.0000, 0.0000, 0.2037)
Mg (0.0000, 0.0000, 0.4104)
Mg (0.0000, 0.0000, 0.5896)
Mg (0.0000, 0.0000, 0.7963)
Cd (0.5000, 0.5000, 0.1017)
Cd (0.5000, 0.5000, 0.3066)
Cd (0.5000, 0.5000, 0.6934)
Cd (0.5000, 0.5000, 0.8983)
Ag (0.5000, 0.5000, 0.5000)

total DFT energy (no corrections): -1.57 eV per atom
energy relative to the elements: -0.1168 eV/atom
space group: No. 123

No. 3
Density functional theory data (PBE) for a geometry-optimized MgCd3Ag12 structure.

Lattice parameters (Å, degrees): 4.1359 4.1359 17.2211 90.00 90.00 90.00
Positions (direct):
Mg (0.0000, 0.0000, 0.0000)
Cd (0.0000, 0.0000, 0.2487)
Cd (0.0000, 0.0000, 0.5000)
Cd (0.0000, 0.0000, 0.7513)
Ag (0.0000, 0.5000, 0.1222)
Ag (0.0000, 0.5000, 0.3743)
Ag (0.0000, 0.5000, 0.6257)
Ag (0.0000, 0.5000, 0.8778)
Ag (0.5000, 0.0000, 0.1222)
Ag (0.5000, 0.0000, 0.3743)
Ag (0.5000, 0.0000, 0.6257)
Ag (0.5000, 0.0000, 0.8778)
Ag (0.5000, 0.5000, 0.0000)
Ag (0.5000, 0.5000, 0.2485)
Ag (0.5000, 0.5000, 0.5000)
Ag (0.5000, 0.5000, 0.7515)

total DFT energy (no corrections): -2.47 eV per atom
energy relative to the elements: -0.0568 eV/atom
space group: No. 123

No. 4
Density functional theory data (PBE) for a geometry-optimized MgCd3Ag3 structure.

Lattice parameters (Å, degrees): 7.3395 7.3395 7.3395 64.97 64.97 64.97
Positions (direct):
Mg (0.1667, 0.1667, 0.1667)
Mg (0.8333, 0.8333, 0.8333)
Cd (0.0229, 0.7272, 0.3853)
Cd (0.2728, 0.6147, 0.9771)
Cd (0.3853, 0.0229, 0.7272)
Cd (0.6147, 0.9771, 0.2728)
Cd (0.7272, 0.3853, 0.0229)
Cd (0.9771, 0.2728, 0.6147)
Ag (0.1476, 0.4524, 0.7626)
Ag (0.2374, 0.8524, 0.5476)
Ag (0.4524, 0.7626, 0.1476)
Ag (0.5476, 0.2374, 0.8524)
Ag (0.7626, 0.1476, 0.4524)
Ag (0.8524, 0.5476, 0.2374)

total DFT energy (no corrections): -1.86 eV per atom
E above lowest polymorph: 0.361 eV per formula unit
energy relative to the elements: -0.0209 eV/atom
space group: No. 148

No. 5
Density functional theory data (PBE) for a geometry-optimized Mg4Cd3Ag4 structure.

Lattice parameters (Å, degrees): 9.6824 9.6824 9.6824 161.83 126.94 56.56
Positions (direct):
Mg (0.0372, 0.8394, 0.1978)
Mg (0.3584, 0.1606, 0.1978)
Mg (0.6416, 0.8394, 0.8022)
Mg (0.9628, 0.1606, 0.8022)
Cd (0.0000, 0.5000, 0.5000)
Cd (0.4022, 0.4022, 0.0000)
Cd (0.5978, 0.5978, 0.0000)
Ag (0.2561, 0.7561, 0.5000)
Ag (0.2817, 0.0000, 0.2817)
Ag (0.7183, 0.0000, 0.7183)
Ag (0.7439, 0.2439, 0.5000)

total DFT energy (no corrections): -1.96 eV per atom
E above lowest polymorph: 0.634 eV per formula unit
energy relative to the elements: -0.0944 eV/atom
space group: No. 71

No. 6
Density functional theory data (PBE) for a geometry-optimized Mg2Cd4Ag5 structure.

Lattice parameters (Å, degrees): 7.7104 18.1924 3.0719 90.00 90.00 90.00
Positions (direct):
Mg (0.0339, 0.1955, 0.0000)
Mg (0.4661, 0.6955, 0.0000)
Mg (0.5339, 0.3045, 0.0000)
Mg (0.9661, 0.8045, 0.0000)
Cd (0.0867, 0.6434, 0.0000)
Cd (0.2053, 0.9358, 0.0000)
Cd (0.2947, 0.4358, 0.0000)
Cd (0.4133, 0.1434, 0.0000)
Cd (0.5867, 0.8566, 0.0000)
Cd (0.7053, 0.5642, 0.0000)
Cd (0.7947, 0.0642, 0.0000)
Cd (0.9133, 0.3566, 0.0000)
Ag (0.0000, 0.5000, 0.5000)
Ag (0.1342, 0.0691, 0.5000)
Ag (0.2193, 0.2998, 0.5000)
Ag (0.2807, 0.7998, 0.5000)
Ag (0.3658, 0.5691, 0.5000)
Ag (0.5000, 0.0000, 0.5000)
Ag (0.6342, 0.4309, 0.5000)
Ag (0.7193, 0.2002, 0.5000)
Ag (0.7807, 0.7002, 0.5000)
Ag (0.8658, 0.9309, 0.5000)

total DFT energy (no corrections): -2.01 eV per atom
energy relative to the elements: -0.0877 eV/atom
space group: No. 55

No. 7
Density functional theory data (PBE) for a geometry-optimized Mg3CdAg12 structure.

Lattice parameters (Å, degrees): 4.1091 4.1091 17.1818 90.00 90.00 90.00
Positions (direct):
Mg (0.0000, 0.0000, 0.0000)
Mg (0.0000, 0.0000, 0.2487)
Mg (0.0000, 0.0000, 0.7513)
Cd (0.0000, 0.0000, 0.5000)
Ag (0.0000, 0.5000, 0.1243)
Ag (0.0000, 0.5000, 0.3722)
Ag (0.0000, 0.5000, 0.6278)
Ag (0.0000, 0.5000, 0.8757)
Ag (0.5000, 0.0000, 0.1243)
Ag (0.5000, 0.0000, 0.3722)
Ag (0.5000, 0.0000, 0.6278)
Ag (0.5000, 0.0000, 0.8757)
Ag (0.5000, 0.5000, 0.0000)
Ag (0.5000, 0.5000, 0.2485)
Ag (0.5000, 0.5000, 0.5000)
Ag (0.5000, 0.5000, 0.7515)

total DFT energy (no corrections): -2.61 eV per atom
energy relative to the elements: -0.1135 eV/atom
space group: No. 123

No. 8
Density functional theory data (PBE) for a geometry-optimized MgCdAg3 structure.

Lattice parameters (Å, degrees): 5.3009 5.5161 7.2140 106.73 111.20 90.18
Positions (direct):
Mg (0.2044, 0.4400, 0.1968)
Mg (0.7956, 0.5600, 0.8032)
Cd (0.2034, 0.3414, 0.6027)
Cd (0.7966, 0.6586, 0.3973)
Ag (0.0099, 0.9459, 0.1954)
Ag (0.3946, 0.8444, 0.5970)
Ag (0.3995, 0.7512, 0.9986)
Ag (0.6005, 0.2488, 0.0014)
Ag (0.6054, 0.1556, 0.4030)
Ag (0.9901, 0.0541, 0.8046)

total DFT energy (no corrections): -2.33 eV per atom
E above lowest polymorph: 0.000 eV per formula unit
energy relative to the elements: -0.1163 eV/atom
space group: No. 2

No. 9
Density functional theory data (PBE) for a geometry-optimized MgCd6Ag3 structure.

Lattice parameters (Å, degrees): 8.2841 4.9028 10.6056 90.00 110.30 90.00
Positions (direct):
Mg (0.1084, 0.2500, 0.0709)
Mg (0.8916, 0.7500, 0.9291)
Cd (0.0917, 0.7500, 0.2312)
Cd (0.1011, 0.2500, 0.5710)
Cd (0.2943, 0.7500, 0.0294)
Cd (0.3012, 0.2500, 0.3719)
Cd (0.4841, 0.7500, 0.8324)
Cd (0.4983, 0.2500, 0.6669)
Cd (0.5017, 0.7500, 0.3331)
Cd (0.5159, 0.2500, 0.1676)
Cd (0.6988, 0.7500, 0.6281)
Cd (0.7057, 0.2500, 0.9706)
Cd (0.8989, 0.7500, 0.4290)
Cd (0.9083, 0.2500, 0.7688)
Ag (0.0948, 0.7500, 0.7345)
Ag (0.2945, 0.7500, 0.5350)
Ag (0.2953, 0.2500, 0.8712)
Ag (0.7047, 0.7500, 0.1288)
Ag (0.7055, 0.2500, 0.4650)
Ag (0.9052, 0.2500, 0.2655)

total DFT energy (no corrections): -1.62 eV per atom
E above lowest polymorph: 0.000 eV per formula unit
energy relative to the elements: -0.0611 eV/atom
space group: No. 11

No. 10
Density functional theory data (PBE) for a geometry-optimized Mg8Cd3Ag2 structure.

Lattice parameters (Å, degrees): 8.3632 8.3632 4.9264 90.00 90.00 122.23
Positions (direct):
Mg (0.1167, 0.8833, 0.0000)
Mg (0.1733, 0.4171, 0.5000)
Mg (0.3192, 0.6808, 0.0000)
Mg (0.4171, 0.1733, 0.5000)
Mg (0.5829, 0.8267, 0.5000)
Mg (0.6808, 0.3192, 0.0000)
Mg (0.8267, 0.5829, 0.5000)
Mg (0.8833, 0.1167, 0.0000)
Cd (0.0000, 0.0000, 0.5000)
Cd (0.3137, 0.3137, 0.0000)
Cd (0.6863, 0.6863, 0.0000)
Ag (0.2212, 0.7788, 0.5000)
Ag (0.7788, 0.2212, 0.5000)

total DFT energy (no corrections): -1.69 eV per atom
energy relative to the elements: -0.0566 eV/atom
space group: No. 65

No. 11
Density functional theory data (PBE) for a geometry-optimized Mg4CdAg2 structure.

Lattice parameters (Å, degrees): 8.0101 8.0101 8.0101 34.45 34.45 34.45
Positions (direct):
Mg (0.1137, 0.1137, 0.1137)
Mg (0.3683, 0.3683, 0.3683)
Mg (0.6317, 0.6317, 0.6317)
Mg (0.8863, 0.8863, 0.8863)
Cd (0.5000, 0.5000, 0.5000)
Ag (0.2452, 0.2452, 0.2452)
Ag (0.7548, 0.7548, 0.7548)

total DFT energy (no corrections): -1.99 eV per atom
E above lowest polymorph: 0.000 eV per formula unit
energy relative to the elements: -0.1376 eV/atom
space group: No. 166

No. 12
Density functional theory data (PBE) for a geometry-optimized MgCd2Ag9 structure.

Lattice parameters (Å, degrees): 4.1626 4.1626 12.6901 90.00 90.00 90.00
Positions (direct):
Mg (0.0000, 0.0000, 0.0000)
Cd (0.0000, 0.0000, 0.3321)
Cd (0.0000, 0.0000, 0.6679)
Ag (0.0000, 0.5000, 0.1633)
Ag (0.0000, 0.5000, 0.5000)
Ag (0.0000, 0.5000, 0.8367)
Ag (0.5000, 0.0000, 0.1633)
Ag (0.5000, 0.0000, 0.5000)
Ag (0.5000, 0.0000, 0.8367)
Ag (0.5000, 0.5000, 0.0000)
Ag (0.5000, 0.5000, 0.3322)
Ag (0.5000, 0.5000, 0.6678)

total DFT energy (no corrections): -2.49 eV per atom
energy relative to the elements: -0.0625 eV/atom
space group: No. 123

No. 13
Density functional theory data (PBE) for a geometry-optimized Mg4Cd2Ag structure.

Lattice parameters (Å, degrees): 8.0233 8.0233 8.0233 143.02 143.02 53.29
Positions (direct):
Mg (0.0000, 0.5000, 0.5000)
Mg (0.1862, 0.1862, 0.0000)
Mg (0.5000, 0.0000, 0.5000)
Mg (0.8138, 0.8138, 0.0000)
Cd (0.3810, 0.3810, 0.0000)
Cd (0.6190, 0.6190, 0.0000)
Ag (0.0000, 0.0000, 0.0000)

total DFT energy (no corrections): -1.45 eV per atom
E above lowest polymorph: 1.514 eV per formula unit
energy relative to the elements: 0.1350 eV/atom
space group: No. 139

No. 14
Density functional theory data (PBE) for a geometry-optimized MgCd2Ag6 structure.

Lattice parameters (Å, degrees): 5.0625 7.7916 9.1539 72.49 76.64 87.11
Positions (direct):
Mg (0.2428, 0.1360, 0.3855)
Mg (0.7572, 0.8640, 0.6145)
Cd (0.0972, 0.1982, 0.9465)
Cd (0.4314, 0.5309, 0.2807)
Cd (0.5686, 0.4691, 0.7193)
Cd (0.9028, 0.8018, 0.0535)
Ag (0.0117, 0.5885, 0.8275)
Ag (0.1227, 0.3576, 0.6079)
Ag (0.2098, 0.9759, 0.7182)
Ag (0.3169, 0.7550, 0.5017)
Ag (0.3481, 0.9208, 0.1651)
Ag (0.4544, 0.6928, 0.9407)
Ag (0.5456, 0.3072, 0.0593)
Ag (0.6519, 0.0792, 0.8349)
Ag (0.6831, 0.2450, 0.4983)
Ag (0.7902, 0.0241, 0.2818)
Ag (0.8773, 0.6424, 0.3921)
Ag (0.9883, 0.4115, 0.1725)

total DFT energy (no corrections): -2.37 eV per atom
E above lowest polymorph: 0.000 eV per formula unit
energy relative to the elements: -0.0839 eV/atom
space group: No. 2

No. 15
Density functional theory data (PBE) for a geometry-optimized MgCd5Ag3 structure.

Lattice parameters (Å, degrees): 7.2327 7.2327 8.7924 102.24 102.24 89.58
Positions (direct):
Mg (0.2492, 0.2492, 0.2505)
Mg (0.7508, 0.7508, 0.7495)
Cd (0.1658, 0.6494, 0.6182)
Cd (0.2380, 0.2380, 0.5826)
Cd (0.2507, 0.2507, 0.9210)
Cd (0.2651, 0.7349, 0.0000)
Cd (0.3506, 0.8342, 0.3818)
Cd (0.6494, 0.1658, 0.6182)
Cd (0.7349, 0.2651, 0.0000)
Cd (0.7493, 0.7493, 0.0790)
Cd (0.7620, 0.7620, 0.4174)
Cd (0.8342, 0.3506, 0.3818)
Ag (0.0000, 0.0000, 0.0000)
Ag (0.0007, 0.0007, 0.6765)
Ag (0.4988, 0.4988, 0.1759)
Ag (0.5000, 0.5000, 0.5000)
Ag (0.5012, 0.5012, 0.8241)
Ag (0.9993, 0.9993, 0.3235)

total DFT energy (no corrections): -1.59 eV per atom
energy relative to the elements: 0.0446 eV/atom
space group: No. 12

No. 16
Density functional theory data (PBE) for a geometry-optimized MgCd4Ag2 structure.

Lattice parameters (Å, degrees): 5.3329 9.7797 5.7266 90.00 96.87 90.00
Positions (direct):
Mg (0.0000, 0.0000, 0.0000)
Mg (0.0000, 0.5000, 0.5000)
Cd (0.0029, 0.2360, 0.2882)
Cd (0.0029, 0.2640, 0.7882)
Cd (0.4987, 0.6701, 0.4705)
Cd (0.4987, 0.8299, 0.9705)
Cd (0.5013, 0.1701, 0.0295)
Cd (0.5013, 0.3299, 0.5295)
Cd (0.9971, 0.7360, 0.2118)
Cd (0.9971, 0.7640, 0.7118)
Ag (0.2655, 0.0183, 0.5869)
Ag (0.2655, 0.4817, 0.0869)
Ag (0.7345, 0.5183, 0.9131)
Ag (0.7345, 0.9817, 0.4131)

total DFT energy (no corrections): -1.55 eV per atom
E above lowest polymorph: 0.085 eV per formula unit
energy relative to the elements: 0.0164 eV/atom
space group: No. 14

No. 17
Density functional theory data (PBE) for a geometry-optimized Mg2Cd4Ag3 structure.

Lattice parameters (Å, degrees): 8.5837 8.5837 5.1899 96.49 96.49 73.01
Positions (direct):
Mg (0.0116, 0.7621, 0.6820)
Mg (0.2379, 0.9884, 0.8180)
Mg (0.7621, 0.0116, 0.1820)
Mg (0.9884, 0.2379, 0.3180)
Cd (0.0980, 0.3503, 0.8574)
Cd (0.3154, 0.5779, 0.9776)
Cd (0.3503, 0.0980, 0.3574)
Cd (0.4221, 0.6846, 0.5224)
Cd (0.5779, 0.3154, 0.4776)
Cd (0.6497, 0.9020, 0.6426)
Cd (0.6846, 0.4221, 0.0224)
Cd (0.9020, 0.6497, 0.1426)
Ag (0.1108, 0.8892, 0.2500)
Ag (0.2081, 0.4573, 0.4162)
Ag (0.4573, 0.2081, 0.9162)
Ag (0.5427, 0.7919, 0.0838)
Ag (0.7919, 0.5427, 0.5838)
Ag (0.8892, 0.1108, 0.7500)

total DFT energy (no corrections): -1.78 eV per atom
E above lowest polymorph: 0.217 eV per formula unit
energy relative to the elements: -0.0705 eV/atom
space group: No. 15

No. 18
Density functional theory data (PBE) for a geometry-optimized Mg2Cd3Ag4 structure.

Lattice parameters (Å, degrees): 4.7298 4.7298 8.8399 91.74 91.74 61.12
Positions (direct):
Mg (0.1650, 0.1650, 0.2860)
Mg (0.8350, 0.8350, 0.7140)
Cd (0.1673, 0.1673, 0.9379)
Cd (0.5000, 0.5000, 0.5000)
Cd (0.8327, 0.8327, 0.0621)
Ag (0.1682, 0.1682, 0.6109)
Ag (0.4988, 0.4988, 0.1688)
Ag (0.5012, 0.5012, 0.8312)
Ag (0.8318, 0.8318, 0.3891)

total DFT energy (no corrections): -2.06 eV per atom
energy relative to the elements: -0.1374 eV/atom
space group: No. 12

No. 19
Density functional theory data (PBE) for a geometry-optimized Mg4CdAg15 structure.

Lattice parameters (Å, degrees): 4.1066 4.1066 21.4468 90.00 90.00 90.00
Positions (direct):
Mg (0.0000, 0.0000, 0.0994)
Mg (0.0000, 0.0000, 0.2986)
Mg (0.0000, 0.0000, 0.7014)
Mg (0.0000, 0.0000, 0.9006)
Cd (0.0000, 0.0000, 0.5000)
Ag (0.0000, 0.5000, 0.0000)
Ag (0.0000, 0.5000, 0.1991)
Ag (0.0000, 0.5000, 0.3975)
Ag (0.0000, 0.5000, 0.6025)
Ag (0.0000, 0.5000, 0.8009)
Ag (0.5000, 0.0000, 0.0000)
Ag (0.5000, 0.0000, 0.1991)
Ag (0.5000, 0.0000, 0.3975)
Ag (0.5000, 0.0000, 0.6025)
Ag (0.5000, 0.0000, 0.8009)
Ag (0.5000, 0.5000, 0.0995)
Ag (0.5000, 0.5000, 0.2986)
Ag (0.5000, 0.5000, 0.5000)
Ag (0.5000, 0.5000, 0.7014)
Ag (0.5000, 0.5000, 0.9005)

total DFT energy (no corrections): -2.63 eV per atom
energy relative to the elements: -0.1267 eV/atom
space group: No. 123